No. 1
{
  "formula": "MgSc2BiB",
  "functional": "PBE",
  "state": "relaxed",
  "lattice_angstrom": [[4.736, 0.000, 0.000], [0.000, 4.736, 0.000], [0.000, 0.000, 4.540]],
  "species": ["Mg", "Sc", "Sc", "Bi", "B"],
  "frac_coords": [[0.000, 0.000, 0.000], [0.000, 0.500, 0.500], [0.500, 0.000, 0.500], [0.500, 0.500, 0.000], [0.000, 0.000, 0.500]],
  "formation_energy_mev_per_atom": -404,
  "sg": "P4/mmm",
  "total_energy_ev_per_cell": -26.8,
  "magmom_total_mub_per_fu": 0.00
}

No. 2
{
  "formula": "Pm2TmIr9",
  "functional": "PBE",
  "state": "relaxed",
  "lattice_angstrom": [[2.663, 1.537, 8.871], [-2.663, 1.537, 8.871], [0.000, -3.075, 8.871]],
  "species": ["Pm", "Pm", "Tm", "Ir", "Ir", "Ir", "Ir", "Ir", "Ir", "Ir", "Ir", "Ir"],
  "frac_coords": [[0.139, 0.139, 0.139], [0.861, 0.861, 0.861], [0.000, 0.000, 0.000], [0.083, 0.580, 0.580], [0.332, 0.332, 0.332], [0.420, 0.420, 0.917], [0.420, 0.917, 0.420], [0.500, 0.500, 0.500], [0.580, 0.083, 0.580], [0.580, 0.580, 0.083], [0.668, 0.668, 0.668], [0.917, 0.420, 0.420]],
  "formation_energy_mev_per_atom": -530,
  "sg": "R-3m",
  "total_energy_ev_per_cell": -100.1,
  "magmom_total_mub_per_fu": 0.00
}

No. 3
{
  "formula": "Ba2SrLiCa",
  "functional": "PBE",
  "state": "relaxed",
  "lattice_angstrom": [[6.552, 0.000, 0.000], [0.000, 6.552, 0.000], [0.000, 0.000, 6.288]],
  "species": ["Ba", "Ba", "Sr", "Li", "Ca"],
  "frac_coords": [[0.000, 0.500, 0.000], [0.500, 0.000, 0.000], [0.000, 0.000, 0.500], [0.500, 0.500, 0.000], [0.500, 0.500, 0.500]],
  "formation_energy_mev_per_atom": 170,
  "relative_energy_mev_per_atom": 0,
  "sg": "P4/mmm",
  "total_energy_ev_per_cell": -8.6,
  "magmom_total_mub_per_fu": 0.00
}